First-principles (PBE) data for a geometry-optimized AlHg2Se structure, as listed in Alexandria via LeMat-Bulk.

## Properties
The calculation puts the density at 8.8 g/cm³. The uncorrected energy comes out at -7.34 eV/f.u. The formation energy (no corrections) is 0.12 eV/atom. The value obtained for the total magnetization is 0.000 μB per atom. As for the energy above the most stable polymorph in this dataset: 403 meV/atom.

abc: 6.4213 6.4213 2.9157
angles: 90.00 90.00 127.47
Closest atoms and distances in Å follow each position.
Atoms (fractional coordinates):
Al 0.0000 0.0000 0.0000  2 Se 2.84, 2 Al 2.92
Hg 0.0000 0.5000 0.5000  4 Hg 2.84-2.92
Hg 0.5000 0.0000 0.5000  4 Hg 2.84-2.92
Se 0.5000 0.5000 0.0000  2 Al 2.84, 2 Se 2.92

---

First-principles (PBE) data for a geometry-optimized AlHgSe2 structure, as listed in Alexandria via LeMat-Bulk.

## Properties
The calculation puts the density at 6.2 g/cm³. The uncorrected energy comes out at -13.14 eV/f.u. The formation energy (no corrections) is -0.53 eV/atom. The value obtained for the total magnetization is 0.000 μB per atom. As for the energy above the most stable polymorph in this dataset: 0 meV/atom.

abc: 6.5687 6.5687 6.1935
angles: 118.06 118.06 77.27
Closest atoms and distances in Å follow each position.
Atoms (fractional coordinates):
Al 0.0001 0.9999 0.2500  4 Se 2.42
Al 0.9999 0.0001 0.7500  4 Se 2.42
Hg 0.5000 0.5000 0.0000  4 Se 3.08, 2 Hg 3.10
Hg 0.5000 0.5000 0.5000  4 Se 3.08, 2 Hg 3.10
Se 0.0001 0.3219 0.1608  2 Al 2.42
Se 0.9999 0.6781 0.8392  2 Al 2.42
Se 0.3219 0.0001 0.6608  2 Al 2.42
Se 0.6781 0.9999 0.3392  2 Al 2.42

---

First-principles (PBE) data for a geometry-optimized AlHgSe2 structure, as listed in Alexandria via LeMat-Bulk.

## Properties
The calculation puts the density at 7.0 g/cm³. The uncorrected energy comes out at -10.24 eV/f.u. The formation energy (no corrections) is 0.19 eV/atom. The value obtained for the total magnetization is 0.000 μB per atom. As for the energy above the most stable polymorph in this dataset: 723 meV/atom.

abc: 3.6519 4.2784 5.8703
angles: 90.00 90.00 90.00
Closest atoms and distances in Å follow each position.
Atoms (fractional coordinates):
Al 0.0000 0.0000 0.0000  4 Hg 2.81
Hg 0.5000 0.5000 0.0000  4 Al 2.81
Se 0.0000 0.5000 0.5000  4 Se 2.81
Se 0.5000 0.0000 0.5000  4 Se 2.81

---

First-principles (PBE) data for a geometry-optimized AlHg2Se structure, as listed in Alexandria via LeMat-Bulk.

## Properties
The calculation puts the density at 8.9 g/cm³. The uncorrected energy comes out at -6.95 eV/f.u. The formation energy (no corrections) is 0.22 eV/atom. The value obtained for the total magnetization is 0.000 μB per atom. As for the energy above the most stable polymorph in this dataset: 499 meV/atom.

abc: 5.1145 5.1145 5.1145
angles: 60.00 60.00 60.00
Closest atoms and distances in Å follow each position.
Atoms (fractional coordinates):
Al 0.0000 0.0000 0.0000  8 Hg 3.13
Hg 0.2500 0.2500 0.2500  4 Se 3.13, 4 Al 3.13
Hg 0.7500 0.7500 0.7500  4 Se 3.13, 4 Al 3.13
Se 0.5000 0.5000 0.5000  8 Hg 3.13

---

First-principles (PBE) data for a geometry-optimized AlHg3Se4 structure, as listed in Alexandria via LeMat-Bulk.

## Properties
The calculation puts the density at 6.6 g/cm³. The uncorrected energy comes out at -21.16 eV/f.u. The formation energy (no corrections) is -0.32 eV/atom. The value obtained for the total magnetization is 0.000 μB per atom. As for the energy above the most stable polymorph in this dataset: 2 meV/atom.

abc: 6.2014 6.2014 6.2014
angles: 90.00 90.00 90.00
Closest atoms and distances in Å follow each position.
Atoms (fractional coordinates):
Al 0.0000 0.0000 0.0000  4 Se 2.45
Hg 0.0000 0.5000 0.5000  4 Se 2.77
Hg 0.5000 0.0000 0.5000  4 Se 2.77
Hg 0.5000 0.5000 0.0000  4 Se 2.77
Se 0.2285 0.2285 0.2285  1 Al 2.45
Se 0.2285 0.7715 0.7715  1 Al 2.45
Se 0.7715 0.2285 0.7715  1 Al 2.45
Se 0.7715 0.7715 0.2285  1 Al 2.45

---

First-principles (PBE) data for a geometry-optimized AlHg2Se structure, as listed in Alexandria via LeMat-Bulk.

## Properties
The calculation puts the density at 9.4 g/cm³. The uncorrected energy comes out at -6.95 eV/f.u. The formation energy (no corrections) is 0.22 eV/atom. The value obtained for the total magnetization is 0.000 μB per atom. As for the energy above the most stable polymorph in this dataset: 500 meV/atom.

abc: 3.3377 3.3377 8.0602
angles: 90.00 90.00 90.00
Closest atoms and distances in Å follow each position.
Atoms (fractional coordinates):
Al 0.0000 0.0000 0.0000  8 Hg 3.03, 4 Al 3.34
Hg 0.5000 0.5000 0.2352  4 Al 3.03, 4 Se 3.18, 4 Hg 3.34
Hg 0.5000 0.5000 0.7648  4 Al 3.03, 4 Se 3.18, 4 Hg 3.34
Se 0.0000 0.0000 0.5000  8 Hg 3.18, 4 Se 3.34

---

First-principles (PBE) data for a geometry-optimized AlHgSe2 structure, as listed in Alexandria via LeMat-Bulk.

## Properties
The calculation puts the density at 7.1 g/cm³. The uncorrected energy comes out at -12.81 eV/f.u. The formation energy (no corrections) is -0.45 eV/atom. The value obtained for the total magnetization is 0.000 μB per atom. As for the energy above the most stable polymorph in this dataset: 81 meV/atom.

abc: 7.4989 7.4989 7.4989
angles: 29.42 29.42 29.42
Closest atoms and distances in Å follow each position.
Atoms (fractional coordinates):
Al 0.0000 0.0000 0.0000  6 Se 2.61
Hg 0.5000 0.5000 0.5000  6 Se 3.09
Se 0.2679 0.2679 0.2679  3 Al 2.61
Se 0.7321 0.7321 0.7321  3 Al 2.61

---

First-principles (PBE) data for a geometry-optimized AlHgSe2 structure, as listed in Alexandria via LeMat-Bulk.

## Properties
The calculation puts the density at 5.5 g/cm³. The uncorrected energy comes out at -12.13 eV/f.u. The formation energy (no corrections) is -0.28 eV/atom. The value obtained for the total magnetization is 0.000 μB per atom. As for the energy above the most stable polymorph in this dataset: 253 meV/atom.

abc: 3.3171 3.3171 10.4846
angles: 90.00 90.00 90.00
Closest atoms and distances in Å follow each position.
Atoms (fractional coordinates):
Al 0.0000 0.0000 0.0000  5 Se 2.37-2.54
Hg 0.5000 0.5000 0.4768  4 Hg 3.32
Se 0.0000 0.0000 0.7741  1 Al 2.37
Se 0.5000 0.5000 0.0941  4 Al 2.54

---

First-principles (PBE) data for a geometry-optimized AlHg2Se structure, as listed in Alexandria via LeMat-Bulk.

## Properties
The calculation puts the density at 8.0 g/cm³. The uncorrected energy comes out at -8.95 eV/f.u. The formation energy (no corrections) is -0.28 eV/atom. The value obtained for the total magnetization is 0.000 μB per atom. As for the energy above the most stable polymorph in this dataset: 0 meV/atom.

abc: 3.7118 3.7118 9.3262
angles: 106.51 106.51 59.87
Closest atoms and distances in Å follow each position.
Atoms (fractional coordinates):
Al 0.0000 0.0000 0.0000  3 Se 2.48-2.49
Hg 0.5622 0.5622 0.7759  3 Al 2.91-2.92, 3 Hg 3.21
Hg 0.7661 0.7661 0.5041  3 Hg 3.21, 1 Se 3.42
Se 0.4016 0.4016 0.1428  3 Al 2.48-2.49

---

First-principles (PBE) data for a geometry-optimized AlHg2Se structure, as listed in Alexandria via LeMat-Bulk.

## Properties
The calculation puts the density at 7.8 g/cm³. The uncorrected energy comes out at -8.62 eV/f.u. The formation energy (no corrections) is -0.20 eV/atom. The value obtained for the total magnetization is 0.000 μB per atom. As for the energy above the most stable polymorph in this dataset: 81 meV/atom.

abc: 6.1834 6.1834 3.7394
angles: 90.07 90.07 130.63
Closest atoms and distances in Å follow each position.
Atoms (fractional coordinates):
Al 0.0000 0.0000 0.0000  2 Se 2.45, 2 Hg 2.70
Hg 0.4288 0.5712 0.0000  2 Al 2.70
Hg 0.8014 0.1986 0.5000  2 Al 2.91, 2 Se 3.15
Se 0.1408 0.8592 0.5000  2 Al 2.45

---

First-principles (PBE) data for a geometry-optimized Sr2AlHgSe5 structure, as listed in Alexandria via LeMat-Bulk.

## Properties
The calculation puts the density at 5.4 g/cm³. The uncorrected energy comes out at -34.75 eV/f.u. The formation energy (no corrections) is -1.10 eV/atom. The value obtained for the total magnetization is 0.000 μB per atom.

abc: 9.8400 9.8400 12.5219
angles: 90.00 90.00 155.90
Closest atoms and distances in Å follow each position.
Atoms (fractional coordinates):
Sr 0.1038 0.8962 0.5000  6 Se 3.03-3.28
Sr 0.1152 0.8848 0.1416  7 Se 3.10-3.33
Sr 0.8848 0.1152 0.6416  7 Se 3.10-3.33
Sr 0.8962 0.1038 0.0000  6 Se 3.03-3.28
Al 0.4270 0.5730 0.2886  4 Se 2.37-2.47
Al 0.5730 0.4270 0.7886  4 Se 2.37-2.47
Hg 0.2358 0.7642 0.8843  5 Se 2.74-2.82
Hg 0.7642 0.2358 0.3843  5 Se 2.74-2.82
Se 0.0518 0.9482 0.8940  2 Al 2.47
Se 0.2675 0.7325 0.5376  2 Hg 2.81
Se 0.3030 0.6970 0.2415  1 Al 2.46
Se 0.3727 0.6273 0.8255  1 Hg 2.74, 2 Sr 3.03
Se 0.4875 0.5125 0.1235  1 Al 2.37
Se 0.5125 0.4875 0.6235  1 Al 2.37
Se 0.6273 0.3727 0.3255  1 Hg 2.74, 2 Sr 3.03
Se 0.6970 0.3030 0.7415  1 Al 2.46
Se 0.7325 0.2675 0.0376  2 Hg 2.81
Se 0.9482 0.0518 0.3940  2 Al 2.47

---

First-principles (PBE) data for a geometry-optimized AlTcHgSe2 structure, as listed in Alexandria via LeMat-Bulk.

## Properties
The calculation puts the density at 6.7 g/cm³. The uncorrected energy comes out at -20.35 eV/f.u. The formation energy (no corrections) is 0.21 eV/atom. The value obtained for the total magnetization is 0.000 μB per atom.

abc: 4.8717 4.8717 5.0607
angles: 90.00 90.00 90.00
Closest atoms and distances in Å follow each position.
Atoms (fractional coordinates):
Al 0.0000 0.0000 0.0000  2 Tc 2.53
Tc 0.0000 0.0000 0.5000  4 Se 2.44, 2 Al 2.53
Hg 0.5000 0.5000 0.0000  4 Al 3.44, 8 Se 3.51
Se 0.0000 0.5000 0.5000  2 Tc 2.44
Se 0.5000 0.0000 0.5000  2 Tc 2.44

---

First-principles (PBE) data for a geometry-optimized Al2HgTeSe6 structure, as listed in Alexandria via LeMat-Bulk.

## Properties
The calculation puts the density at 5.0 g/cm³. The uncorrected energy comes out at -35.68 eV/f.u. The formation energy (no corrections) is -0.38 eV/atom. The value obtained for the total magnetization is 0.000 μB per atom.

abc: 8.9343 8.9343 7.5934
angles: 103.42 103.42 81.83
Closest atoms and distances in Å follow each position.
Atoms (fractional coordinates):
Al 0.1265 0.2912 0.1948  4 Se 2.38-2.47
Al 0.2912 0.1265 0.6948  4 Se 2.38-2.47
Al 0.7088 0.8735 0.3052  4 Se 2.38-2.47
Al 0.8735 0.7088 0.8052  4 Se 2.38-2.47
Hg 0.2716 0.7284 0.7500  2 Se 2.56
Hg 0.7284 0.2716 0.2500  2 Se 2.56
Te 0.2618 0.7382 0.2500  4 Se 2.58-2.85
Te 0.7382 0.2618 0.7500  4 Se 2.58-2.85
Se 0.0924 0.1824 0.4436  2 Al 2.38-2.41
Se 0.1309 0.5704 0.8921  1 Al 2.47, 1 Hg 2.56
Se 0.1824 0.0924 0.9436  2 Al 2.38-2.41
Se 0.2929 0.4899 0.3784  1 Al 2.44, 1 Te 2.58
Se 0.4296 0.8691 0.6079  1 Al 2.47, 1 Hg 2.56
Se 0.4899 0.2929 0.8784  1 Al 2.44, 1 Te 2.58
Se 0.5101 0.7071 0.1216  1 Al 2.44, 1 Te 2.58
Se 0.5704 0.1309 0.3921  1 Al 2.47, 1 Hg 2.56
Se 0.7071 0.5101 0.6216  1 Al 2.44, 1 Te 2.58
Se 0.8176 0.9076 0.0564  2 Al 2.38-2.41
Se 0.8691 0.4296 0.1079  1 Al 2.47, 1 Hg 2.56
Se 0.9076 0.8176 0.5564  2 Al 2.38-2.41